# 1
VASP calculation (PBE) on a relaxed structure of FeCo2Se.

Unit cell a=4.2229 b=4.2229 c=4.4689 alpha=79.68 beta=79.68 gamma=40.85
With the nearest neighbours (Å) after each atom.
Positions (direct):
Co1 0.0079 0.0079 0.9873  3 Se 2.43-2.61, 3 Fe 2.47-2.49, 2 Co 2.61
Co2 0.4921 0.4921 0.5127  3 Se 2.43-2.61, 3 Fe 2.47-2.49, 2 Co 2.61
Fe1 0.7500 0.7500 0.7500  6 Co 2.47-2.49, 4 Se 2.68
Se1 0.2500 0.2500 0.2500  6 Co 2.43-2.61, 4 Fe 2.68

Results
Its total magnetization is 5.5 μB per formula unit. For the formation energy (no corrections), the calculation gives 0.227 eV per atom.


# 2
VASP calculation (PBE) on a relaxed structure of TaGaAs3.

Unit cell a=4.7594 b=4.7594 c=4.7594 alpha=90.00 beta=90.00 gamma=90.00
With the nearest neighbours (Å) after each atom.
Positions (direct):
Ga1 0.0000 0.0000 0.0000  6 As 2.38
As1 0.5000 0.0000 0.0000  2 Ga 2.38
Ta1 0.5000 0.5000 0.5000  12 As 3.37
As2 0.0000 0.0000 0.5000  2 Ga 2.38
As3 0.0000 0.5000 0.0000  2 Ga 2.38

Results
The calculation puts the formation enthalpy at 0 K at 1139 meV per atom. Its total magnetization is 0.0 μB per formula unit.


# 3
VASP calculation (PBE) on a relaxed structure of Li5Cd2Hg5.

Unit cell a=4.6957 b=4.6957 c=12.8980 alpha=77.60 beta=77.60 gamma=60.63
With the nearest neighbours (Å) after each atom.
Positions (direct):
Li1 0.1427 0.1427 0.5587  1 Cd 2.76, 7 Hg 2.78-3.04, 1 Li 3.06
Hg1 0.6915 0.6915 0.9264  7 Li 2.86-2.93, 1 Cd 3.19
Hg2 0.2289 0.2289 0.3359  4 Li 2.78-3.04, 2 Cd 3.04
Hg3 0.5000 0.5000 0.5000  6 Li 2.81-2.82
Cd1 0.0713 0.0713 0.7791  5 Li 2.76-2.88, 2 Hg 3.04
Cd2 0.9287 0.9287 0.2209  5 Li 2.76-2.88, 2 Hg 3.04
Li2 0.0000 0.0000 0.0000  2 Cd 2.76, 6 Hg 2.86-2.89
Hg4 0.3085 0.3085 0.0736  7 Li 2.86-2.93, 1 Cd 3.19
Hg5 0.7711 0.7711 0.6641  4 Li 2.78-3.04, 2 Cd 3.04
Li3 0.8573 0.8573 0.4413  1 Cd 2.76, 7 Hg 2.78-3.04, 1 Li 3.06
Li4 0.3856 0.3856 0.8443  3 Cd 2.82-2.88, 4 Hg 2.87-2.93
Li5 0.6144 0.6144 0.1557  3 Cd 2.82-2.88, 4 Hg 2.87-2.93

Results
The calculation puts the formation enthalpy at 0 K at -246 meV per atom. Its total magnetization is 0.0 μB per formula unit.


What did we get for E? Answer: -25.25 -23.13 -15.86 eV per cell, in the order shown.